Entry 1:
Compound: ReIr3
Source: Alexandria via LeMat-Bulk
Functional: PBE-GGA
Structure: optimized geometry

Cell: 3.878 3.878 4.748 Å, 114.11 114.11 90.00°
Fractional positions:
Re1 0.000 0.000 0.000
Ir1 0.750 0.250 0.500
Ir2 0.250 0.750 0.500
Ir3 0.500 0.500 0.000

Results
Formation energy from the elements = -92 meV per atom
E_tot = -0.362 hartree per atom



Entry 2:
Compound: Pm4GeSb2Te
Source: Alexandria via LeMat-Bulk
Functional: PBE-GGA
Structure: optimized geometry

Cell: 4.419 7.703 7.676 Å, 109.18 90.00 90.00°
Fractional positions:
Pm1 0.500 0.263 0.247
Pm2 0.500 0.737 0.753
Pm3 0.000 0.263 0.760
Pm4 0.000 0.737 0.240
Ge1 0.500 0.500 0.000
Sb1 0.500 0.000 0.500
Sb2 0.000 0.500 0.500
Te1 0.000 0.000 0.000

Results
E_tot = -0.204 hartree per atom
Energy relative to the elements, uncorrected = -114.3 kJ/mol of atoms



Entry 3:
Compound: SiAsN3
Source: Alexandria via LeMat-Bulk
Functional: PBE-GGA
Structure: optimized geometry

Cell: 3.741 3.741 3.741 Å, 90.00 90.00 90.00°
Fractional positions:
As1 0.000 0.000 0.000
Si1 0.500 0.500 0.500
N1 0.000 0.500 0.000
N2 0.000 0.000 0.500
N3 0.500 0.000 0.000

Results
E_tot = -0.199 hartree per atom
Energy relative to the elements, uncorrected = 153.8 kJ/mol of atoms



Entry 4:
Compound: Sr2ScSb
Source: Alexandria via LeMat-Bulk
Functional: PBE-GGA
Structure: optimized geometry

Cell: 7.845 6.313 3.630 Å, 89.98 62.47 119.24°
Fractional positions:
Sb1 0.000 0.500 0.500
Sc1 0.500 0.500 0.000
Sr1 0.000 0.000 0.000
Sr2 0.500 0.000 0.500

Results
E_tot = -0.133 hartree per atom
Energy relative to the elements, uncorrected = -16.0 kJ/mol of atoms



Entry 5:
Compound: CsNd2HgSe4
Source: Alexandria via LeMat-Bulk
Functional: PBE-GGA
Structure: optimized geometry

Cell: 4.462 7.780 15.500 Å, 90.00 90.00 106.67°
Fractional positions:
Cs1 0.123 0.246 0.750
Cs2 0.877 0.754 0.250
Nd1 0.375 0.749 0.558
Nd2 0.625 0.251 0.058
Nd3 0.625 0.251 0.442
Nd4 0.375 0.749 0.942
Hg1 0.838 0.675 0.750
Hg2 0.162 0.325 0.250
Se1 0.258 0.516 0.098
Se2 0.742 0.484 0.598
Se3 0.742 0.484 0.902
Se4 0.258 0.516 0.402
Se5 0.000 0.000 0.500
Se6 0.000 0.000 0.000
Se7 0.440 0.881 0.750
Se8 0.560 0.119 0.250

Results
E_tot = -0.162 hartree per atom
Energy relative to the elements, uncorrected = -127.8 kJ/mol of atoms



Entry 6:
Compound: Li3HgPd
Source: Alexandria via LeMat-Bulk
Functional: PBE-GGA
Structure: optimized geometry

Cell: 4.788 4.788 4.788 Å, 90.00 90.00 90.00°
Fractional positions:
Hg1 0.000 0.000 0.000
Pd1 0.500 0.500 0.500
Li1 0.000 0.500 0.000
Li2 0.000 0.000 0.500
Li3 0.500 0.000 0.000

Results
Formation energy from the elements = 219 meV per atom
E_tot = -0.075 hartree per atom



Entry 7:
Compound: RbMg2In4
Source: Alexandria via LeMat-Bulk
Functional: PBE-GGA
Structure: optimized geometry

Cell: 5.967 6.478 6.478 Å, 77.75 62.58 62.58°
Fractional positions:
Rb1 0.000 0.000 0.000
Mg1 0.750 0.500 0.500
Mg2 0.250 0.500 0.500
In1 0.694 0.000 0.612
In2 0.306 0.000 0.388
In3 0.306 0.388 0.000
In4 0.694 0.612 0.000

Results
Formation energy from the elements = -46 meV per atom
E_tot = -0.081 hartree per atom



Entry 8:
Compound: Mn3Mo
Source: Alexandria via LeMat-Bulk
Functional: PBE-GGA
Structure: optimized geometry

Cell: 4.697 4.697 8.149 Å, 90.00 106.75 120.00°
Last column: magnetic moment on the atom in μB.
Fractional positions:
Mn1 0.663 0.073 0.253  -0.03
Mn2 0.180 0.590 0.253  -0.03
Mn3 0.663 0.590 0.253  -0.03
Mn4 0.000 0.500 0.500  0.42
Mn5 0.326 0.663 0.989  0.11
Mn6 0.674 0.337 0.011  0.11
Mn7 0.820 0.410 0.747  -0.03
Mn8 0.337 0.927 0.747  -0.03
Mn9 0.337 0.410 0.747  -0.03
Mo1 0.279 0.139 0.418  0.00
Mo2 0.721 0.861 0.582  0.00
Mo3 0.000 0.000 0.000  -0.03

Results
Formation energy from the elements = 56 meV per atom
E_tot = -0.350 hartree per atom



Entry 9:
Compound: TbCePr14
Source: Alexandria via LeMat-Bulk
Functional: PBE-GGA
Structure: optimized geometry

Cell: 7.381 7.381 10.480 Å, 90.00 90.00 89.99°
Last column: magnetic moment on the atom in μB.
Fractional positions:
Tb1 0.375 0.625 0.000  0.00
Ce1 0.875 0.125 0.000  0.83
Pr1 0.375 0.625 0.500  0.00
Pr2 0.875 0.125 0.500  0.00
Pr3 0.875 0.624 0.000  0.01
Pr4 0.875 0.625 0.500  0.01
Pr5 0.376 0.125 0.000  0.01
Pr6 0.375 0.125 0.500  0.01
Pr7 0.626 0.876 0.753  0.01
Pr8 0.626 0.876 0.247  0.01
Pr9 0.124 0.374 0.753  0.01
Pr10 0.124 0.374 0.247  0.01
Pr11 0.124 0.876 0.754  0.01
Pr12 0.124 0.876 0.246  0.01
Pr13 0.626 0.374 0.753  0.01
Pr14 0.626 0.374 0.247  0.01

Results
Formation energy from the elements = 31 meV per atom
E_tot = -0.177 hartree per atom



Entry 10:
Compound: ReGeNO2
Source: Alexandria via LeMat-Bulk
Functional: PBE-GGA
Structure: optimized geometry

Cell: 3.909 3.909 3.957 Å, 90.00 90.00 90.00°
Fractional positions:
Re1 0.000 0.000 0.000
Ge1 0.500 0.500 0.500
O1 0.000 0.500 0.000
O2 0.500 0.000 0.000
N1 0.000 0.000 0.500

Results
E_tot = -0.275 hartree per atom
Energy relative to the elements, uncorrected = -40.8 kJ/mol of atoms



Entry 11:
Compound: NdZn5Ga7
Source: Alexandria via LeMat-Bulk
Functional: PBE-GGA
Structure: optimized geometry

Cell: 6.998 6.998 6.998 Å, 131.56 99.20 100.18°
Fractional positions:
Nd1 0.002 0.000 0.002
Zn1 0.997 0.499 0.001
Zn2 0.997 0.996 0.498
Zn3 0.502 0.004 0.001
Zn4 0.502 0.501 0.498
Zn5 0.783 0.500 0.283
Ga1 0.353 0.000 0.353
Ga2 0.647 0.000 0.647
Ga3 0.353 0.352 0.001
Ga4 0.648 0.648 0.001
Ga5 0.218 0.500 0.718
Ga6 0.792 0.293 0.499
Ga7 0.206 0.707 0.499

Results
Formation energy from the elements = -127 meV per atom
E_tot = -0.096 hartree per atom



Entry 12:
Compound: AcPm2Th
Source: Alexandria via LeMat-Bulk
Functional: PBE-GGA
Structure: optimized geometry

Cell: 3.718 3.718 12.274 Å, 81.29 81.29 60.00°
Fractional positions:
Ac1 0.500 0.500 0.499
Pm1 0.078 0.078 0.766
Pm2 0.255 0.255 0.235
Th1 0.667 0.667 0.000

Results
Formation energy from the elements = 51 meV per atom
E_tot = -0.191 hartree per atom